# Cr2InRuN

Crystalline Cr2InRuN at its relaxed geometry (PBE, Alexandria).

Structure (POSCAR):
```
Cr2InRuN
1.0
-0.323 3.899 0.648
-0.341 -0.676 3.893
4.117 0.273 0.408
In N Ru Cr
1 1 1 2
Direct
0.500 0.500 0.500
0.000 0.000 0.000
0.000 0.000 0.500
0.500 0.000 0.000
0.000 0.500 0.000
```

**Energy relative to the elements, uncorrected**: -53 meV per atom

# Ta2SbIr

Crystalline Ta2SbIr at its relaxed geometry (PBE, Alexandria).

Structure (POSCAR):
```
Ta2SbIr
1.0
9.475 -0.002 -0.001
9.001 2.957 -0.001
9.001 1.439 2.582
Ta Ir Sb
2 1 1
Direct
0.504 0.504 0.504
0.996 0.996 0.996
0.250 0.250 0.250
0.750 0.750 0.750
```

**Energy relative to the elements, uncorrected**: 99 meV per atom

# Er2MgPdO6

Crystalline Er2MgPdO6 at its relaxed geometry (PBE, Alexandria).

Structure (POSCAR):
```
Er2MgPdO6
1.0
-0.922 -5.203 -0.543
-0.225 -0.549 5.635
-7.553 1.399 -0.165
O Er Mg Pd
12 4 2 2
Direct
0.186 0.197 0.065
0.310 0.693 0.062
0.690 0.307 0.938
0.373 0.949 0.747
0.314 0.697 0.435
0.190 0.193 0.438
0.686 0.303 0.565
0.127 0.449 0.753
0.810 0.807 0.562
0.873 0.551 0.247
0.814 0.803 0.935
0.627 0.051 0.253
0.977 0.074 0.749
0.023 0.926 0.251
0.523 0.574 0.751
0.477 0.426 0.249
0.500 0.000 0.000
0.000 0.500 0.500
0.000 0.500 0.000
0.500 0.000 0.500
```

**Energy relative to the elements, uncorrected**: -2482 meV per atom

# ErHf2Re

Crystalline ErHf2Re at its relaxed geometry (PBE, Alexandria).

Structure (POSCAR):
```
ErHf2Re
1.0
-3.263 -0.485 -0.293
-0.004 -1.690 2.849
-1.384 6.858 4.067
Re Hf Er
1 2 1
Direct
0.500 0.500 0.000
0.000 0.000 0.809
0.000 0.000 0.191
0.500 0.500 0.500
```

# UBr3

Crystalline UBr3 at its relaxed geometry (PBE, Alexandria).

Structure (POSCAR):
```
UBr3
1.0
-1.331 7.708 2.028
-2.696 -5.952 4.754
3.762 0.066 2.216
Br U
6 2
Direct
0.389 0.302 0.250
0.611 0.698 0.750
0.302 0.913 0.750
0.913 0.611 0.250
0.087 0.389 0.750
0.698 0.087 0.250
0.667 0.333 0.750
0.333 0.667 0.250
```

**Energy relative to the elements, uncorrected**: -1245 meV per atom

Record order is preserved below.
Final energy: -7.9700, -9.0730, -7.0485, -9.3080, -5.3212 eV per atom